The following is a GGA+U calculation of a geometry-optimized NaLiCoF6 structure, from Alexandria via LeMat-Bulk.

Summary:
raw total energy: -4.37 eV per atom
magnetization: 0.112 μB/atom
symmetry: P4_2nm (102)

Cell: 4.814 4.814 9.377 Å, 90.00 90.00 90.00°
Each line ends with the local moment (μB).
Fractional coordinates of all 18 atoms:
F (0.690, 0.690, 0.971)  -0.01
F (0.236, 0.764, 0.839)  0.02
F (0.190, 0.810, 0.471)  -0.01
F (0.325, 0.325, 0.687)  -0.01
F (0.675, 0.675, 0.687)  -0.01
F (0.825, 0.175, 0.187)  -0.01
F (0.764, 0.236, 0.839)  0.02
F (0.175, 0.825, 0.187)  -0.01
F (0.810, 0.190, 0.471)  -0.01
F (0.264, 0.264, 0.339)  0.02
F (0.310, 0.310, 0.971)  -0.01
F (0.736, 0.736, 0.339)  0.02
Na (0.500, 0.500, 0.169)  0.00
Na (0.000, 0.000, 0.669)  0.00
Li (0.500, 0.500, 0.504)  0.00
Li (0.000, 0.000, 0.004)  0.00
Co (0.000, 0.000, 0.333)  0.98
Co (0.500, 0.500, 0.833)  0.98